FeReO6 | PBE+U | optimized geometry

a = 5.471 Å, b = 5.471 Å, c = 5.471 Å
α = 60.00°, β = 60.00°, γ = 60.00°
Element x y z (fractional)
Fe 0.500 0.500 0.500
Re 0.000 0.000 0.000
O 0.758 0.758 0.242
O 0.758 0.242 0.242
O 0.242 0.758 0.758
O 0.242 0.242 0.758
O 0.242 0.758 0.242
O 0.758 0.242 0.758

Output
Energy: -55.94 eV per cell
Magnetic moment: 7.0 Bohr magnetons per cell
Crystal system: cubic
Space group: Fm-3m